# CaCoBr

A relaxed CaCoBr crystal (GGA-PBE, Alexandria).

Values from the calculation:
N(E_F) (states/eV/atom): 0.22
E_tot (eV/atom): -3.64
Symmetry: P3m1 (156)
E_form (uncorrected) (kJ/mol of formula units): -13

Cell: 3.781 3.781 5.886 Å, 90.00 90.00 120.00°
Fractional positions:
Co 0.333 0.667 0.690
Br 0.000 0.000 0.974
Ca 0.667 0.333 0.336